A plane-wave DFT calculation with PBE was carried out for an optimized crystal structure of PuInAgHg.

Properties
The magnetization is 22.1 μB/cell. As for the space group: No. 216. The formation energy comes out at -0.1026 eV per atom.

a b c (Å): 7.228 7.228 7.228
angles (deg): 90.00 90.00 90.00
Fractional positions:
Pu: 0.000 0.000 0.000
Pu: 0.000 0.500 0.500
Pu: 0.500 0.000 0.500
Pu: 0.500 0.500 0.000
In: 0.000 0.000 0.500
In: 0.000 0.500 0.000
In: 0.500 0.000 0.000
In: 0.500 0.500 0.500
Ag: 0.250 0.250 0.750
Ag: 0.250 0.750 0.250
Ag: 0.750 0.250 0.250
Ag: 0.750 0.750 0.750
Hg: 0.250 0.250 0.250
Hg: 0.250 0.750 0.750
Hg: 0.750 0.250 0.750
Hg: 0.750 0.750 0.250

***

A plane-wave DFT calculation with PBE was carried out for an optimized crystal structure of Cs2K2PO4.

Properties
The magnetization is 0.7 μB/cell. As for the space group: No. 139. As for the formation energy from raw total energies: -10.07 eV per formula unit.

a b c (Å): 6.351 6.351 6.351
angles (deg): 118.40 118.40 92.79
Fractional positions:
Cs: 0.250 0.750 0.500
Cs: 0.750 0.250 0.500
K: 0.158 0.158 0.000
K: 0.842 0.842 0.000
P: 0.500 0.500 0.000
O: 0.314 0.314 0.628
O: 0.314 0.686 0.000
O: 0.686 0.314 0.000
O: 0.686 0.686 0.372

***

A plane-wave DFT calculation with PBE was carried out for an optimized crystal structure of B2C.

Properties
The magnetization is 0.0 μB/cell. As for the space group: No. 6. The formation energy comes out at 0.5020 eV per atom.

a b c (Å): 4.119 2.544 8.341
angles (deg): 90.00 96.12 90.00
Fractional positions:
B: 0.000 0.000 0.000
B: 0.030 0.000 0.618
B: 0.129 0.000 0.272
B: 0.322 0.000 0.496
B: 0.363 0.000 0.757
B: 0.586 0.500 0.437
B: 0.742 0.500 0.651
B: 0.798 0.500 0.279
C: 0.333 0.000 0.113
C: 0.551 0.500 0.114
C: 0.558 0.500 0.808
C: 0.768 0.500 0.966

***

no.,E (eV/atom),N(E_F) (states/eV/atom)
1,-5.16,3.66
2,-4.36,0.23
3,-7.02,0.20